DFT (PBE) results for crystalline BeIrCl2 at its relaxed geometry.

Unit cell a=5.4020 b=5.4020 c=9.3847 alpha=90.00 beta=90.00 gamma=90.00
With the nearest neighbours (Å) after each atom.
Space group I-42d (No. 122)
Unique sites:
Be 0.0000 0.0000 0.0000  4 Cl 2.05
Ir 0.0000 0.0000 0.5000  4 Cl 2.47
Cl 0.1839 0.2500 0.1250  2 Be 2.05

Summary:
Its excess energy over the best structure of this formula in the dataset is 0.630 eV/atom. The calculation puts the energy relative to the elements, uncorrected at 0.45 eV/atom. The total magnetization comes out at 1.0 μB per formula unit.